[1]
NiHg3Pt | PBEsol | optimized geometry

The structure in POSCAR format:
```
NiHg3Pt
1.0
4.752 0.000 0.000
0.000 4.752 0.000
0.000 0.000 4.752
Ni Hg Pt
1 3 1
Cartesian
0.000 0.000 0.000 Ni
0.000 0.000 2.376 Hg
0.000 2.376 0.000 Hg
2.376 0.000 0.000 Hg
2.376 2.376 2.376 Pt
```

SG   Pm-3m
Formation energy   0.715 eV/atom
M_tot   0.00 μB per formula unit

[2]
SrZrTl2Tc | PBEsol | optimized geometry

The structure in POSCAR format:
```
SrZrTl2Tc
1.0
5.360 0.000 0.000
0.000 5.360 0.000
0.000 0.000 4.806
Sr Zr Tl Tc
1 1 2 1
Cartesian
0.000 0.000 0.000 Sr
2.680 2.680 0.000 Zr
0.000 2.680 2.403 Tl
2.680 0.000 2.403 Tl
2.680 2.680 2.403 Tc
```

SG   P4/mmm
Formation energy   0.202 eV/atom
M_tot   0.00 μB per formula unit

[3]
MoSe2 | PBEsol | optimized geometry

The structure in POSCAR format:
```
MoSe2
1.0
3.267 0.000 0.000
-1.634 2.830 0.000
0.000 0.000 20.448
Mo Se
3 6
Cartesian
0.000 0.000 0.000 Mo
1.634 0.943 6.525 Mo
1.634 0.943 13.923 Mo
0.000 0.000 4.859 Se
0.000 0.000 8.189 Se
0.000 0.000 12.259 Se
0.000 0.000 15.589 Se
1.634 0.943 1.665 Se
1.634 0.943 18.783 Se
```

SG   P-6m2
Formation energy from raw total energies   -712 meV/atom
M_tot   0.00 μB per formula unit

What is the M_tot in the third record? 0.00 μB per formula unit

Look up the M_tot of the second one. 0.00 μB per formula unit